No. 1
Computed, not measured: crystalline Sr2BeIr at its relaxed geometry at the GGA-PBE level of DFT.

Calculated values
**VASP energy**: -4.27 eV per atom
**Mass density**: 5.4 g/cm3
**Calculated volume**: 29.21 Å³ per atom
**Density of states at the Fermi level**: 0.82 states/eV/atom
**Formation energy**: -0.287 eV per atom

Unit cell a=4.058 b=4.058 c=8.507 alpha=103.40 beta=103.40 gamma=59.97
Sites, in units of the cell vectors:
1 Sr 0.000 0.000 0.000
2 Sr 0.164 0.164 0.506
3 Be 0.415 0.415 0.253
4 Ir 0.748 0.748 0.253

No. 2
Computed, not measured: crystalline SrBeIr at its relaxed geometry at the GGA-PBE level of DFT.

Calculated values
**VASP energy**: -4.94 eV per atom
**Polymorph energy (0 for the lowest one)**: 0.234 eV per atom
**Mass density**: 8.5 g/cm3
**Calculated volume**: 18.78 Å³ per atom
**Density of states at the Fermi level**: 0.40 states/eV/atom
**Formation energy**: -0.182 eV per atom

Unit cell a=6.040 b=6.040 c=5.990 alpha=90.00 beta=90.00 gamma=148.96
Sites, in units of the cell vectors:
1 Sr 0.197 0.803 0.750
2 Sr 0.803 0.197 0.250
3 Be 0.500 0.500 0.000
4 Be 0.500 0.500 0.500
5 Ir 0.069 0.931 0.250
6 Ir 0.931 0.069 0.750